No. 1
## CrRh2W (SCAN)

Data for a PBEsol-optimized structure of CrRh2W.

Structure (CIF):
```
data_CrRh2W
_chemical_formula_sum 'Cr1 Rh2 W1'
_cell_length_a 2.6782
_cell_length_b 3.7643
_cell_length_c 5.3363
_cell_angle_alpha 90.00
_cell_angle_beta 90.00
_cell_angle_gamma 90.00
_symmetry_space_group_name_H-M 'P m m m'
_symmetry_Int_Tables_number 47
loop_
_symmetry_equiv_pos_as_xyz
'x,y,z'
'-x,-y,-z'
'-x,-y,z'
'x,y,-z'
'x,-y,-z'
'-x,y,z'
'-x,y,-z'
'x,-y,z'
loop_
_atom_site_label
_atom_site_type_symbol
_atom_site_fract_x
_atom_site_fract_y
_atom_site_fract_z
_atom_site_occupancy
Cr1 Cr 0.0000 0.0000 0.0000 1
Rh1 Rh 0.5000 0.5000 0.2412 1
W1 W 0.0000 0.0000 0.5000 1
```

* offset from the most stable computed form: 57 meV/atom
* uncorrected energy: -156.0 eV for the cell shown
* ΔE_f: -2.50 kcal/mol of atoms
* total magnetic moment: 0.001 μB per atom

=====

No. 2
## CrRh2W (SCAN)

Data for a PBEsol-optimized structure of CrRh2W.

Structure (CIF):
```
data_CrRh2W
_chemical_formula_sum 'Cr1 Rh2 W1'
_cell_length_a 2.6898
_cell_length_b 4.2842
_cell_length_c 4.6770
_cell_angle_alpha 90.00
_cell_angle_beta 90.00
_cell_angle_gamma 90.00
_symmetry_space_group_name_H-M 'P m m 2'
_symmetry_Int_Tables_number 25
loop_
_symmetry_equiv_pos_as_xyz
'x,y,z'
'-x,-y,z'
'-x,y,z'
'x,-y,z'
loop_
_atom_site_label
_atom_site_type_symbol
_atom_site_fract_x
_atom_site_fract_y
_atom_site_fract_z
_atom_site_occupancy
Cr1 Cr 0.0000 0.0000 0.0000 1
Rh1 Rh 0.5000 0.0000 0.5018 1
Rh2 Rh 0.5000 0.5000 0.8533 1
W1 W 0.0000 0.5000 0.3373 1
```

* offset from the most stable computed form: 37 meV/atom
* uncorrected energy: -156.1 eV for the cell shown
* ΔE_f: -2.96 kcal/mol of atoms
* total magnetic moment: 0.512 μB per atom

=====

No. 3
## CrRh2W (SCAN)

Data for a PBEsol-optimized structure of CrRh2W.

Structure (CIF):
```
data_CrRh2W
_chemical_formula_sum 'Cr2 Rh4 W2'
_cell_length_a 3.7648
_cell_length_b 3.7648
_cell_length_c 7.5762
_cell_angle_alpha 90.00
_cell_angle_beta 90.00
_cell_angle_gamma 90.00
_symmetry_space_group_name_H-M 'I 4/m m m'
_symmetry_Int_Tables_number 139
_symmetry_space_group_name_Hall '-I 4 2'
loop_
_atom_site_label
_atom_site_type_symbol
_atom_site_fract_x
_atom_site_fract_y
_atom_site_fract_z
_atom_site_occupancy
Cr1 Cr 0.0000 0.0000 0.0000 1
Rh1 Rh 0.0000 0.5000 0.2500 1
W1 W 0.0000 0.0000 0.5000 1
```

* offset from the most stable computed form: 0 meV/atom
* uncorrected energy: -312.6 eV for the cell shown
* ΔE_f: -3.80 kcal/mol of atoms
* total magnetic moment: 0.306 μB per atom